{
  "formula": "Na3Pu3NiS8",
  "functional": "PBE-GGA",
  "state": "relaxed",
  "lattice": [[6.7397, -3.8942, 0.0000], [6.7397, 3.8942, 0.0000], [-4.4903, 0.0000, 6.6920]],
  "species": ["Na", "Na", "Na", "Pu", "Pu", "Pu", "Ni", "S", "S", "S", "S", "S", "S", "S", "S"],
  "fractional_positions": [[0.0000, 0.0000, 0.0000], [0.0000, 0.5000, 0.0000], [0.5000, 0.0000, 0.0000], [0.0000, 0.5000, 0.5000], [0.5000, 0.0000, 0.5000], [0.5000, 0.5000, 0.5000], [0.0000, 0.0000, 0.5000], [0.2210, 0.2210, 0.7044], [0.2221, 0.7612, 0.7054], [0.2388, 0.7779, 0.2946], [0.2572, 0.2572, 0.2716], [0.7428, 0.7428, 0.7284], [0.7612, 0.2221, 0.7054], [0.7779, 0.2388, 0.2946], [0.7790, 0.7790, 0.2956]],
  "space_group": "No. 12",
  "e_form_raw_mev_per_atom": -1232
}